No. 1
Compound: Gd2HoIn3Ir2Au
Source: OQMD via LeMat-Bulk
Functional: GGA-PBE
Structure: relaxed

The structure in extended XYZ format:
```
9
Lattice="3.926 0.000 0.000 0.000 6.611 3.842 0.000 -6.611 3.842" Properties=species:S:1:pos:R:3 pbc="T T T"
Au 0.000 0.000 0.007
Gd 0.000 3.904 2.273
Gd 0.000 -3.904 2.273
Ho 0.000 0.000 3.143
In 1.963 1.764 1.032
In 1.963 -1.764 1.032
In 1.963 0.000 5.626
Ir 1.963 2.184 3.834
Ir 1.963 -2.184 3.834
```

- energy (Ry per atom) = -0.40333
- space group = Amm2

***

No. 2
Compound: GdZrAs
Source: OQMD via LeMat-Bulk
Functional: GGA-PBE
Structure: relaxed

The structure in extended XYZ format:
```
3
Lattice="2.817 -3.434 -1.541 0.719 -3.817 2.648 -1.825 -4.135 -1.293" Properties=species:S:1:pos:R:3 pbc="T T T"
As 0.000 0.000 0.000
Gd 0.428 -2.847 -0.047
Zr 1.283 -8.540 -0.140
```

- energy (Ry per atom) = -0.48141
- space group = F-43m

***

Among the records above, which one has the lowest energy? GdZrAs

***

The lowest energy belongs to which entry? GdZrAs